Density functional theory data (PBE) for an optimized crystal structure of ScTe2BrO.

The uncorrected formation energy comes out at -8.4 kcal/mol of atoms. For the density of states at the Fermi level, the calculation gives 0.4768 states/eV/atom. The final energy is -4.215 eV per atom. Its size of the total moment is 0.00 μB/cell.

The structure belongs to space group P4/mmm (No. 123); the cell edges are 4.4826, 4.4826 and 5.7345 Å and the angles 90.00°, 90.00° and 90.00°. The distinct sites, in fractional coordinates, are Sc at (0.0000, 0.0000, 0.0000), Te at (0.0000, 0.5000, 0.5000), Br at (0.5000, 0.5000, 0.0000) and O at (0.5000, 0.5000, 0.5000).

***

Density functional theory data (PBE) for an optimized crystal structure of CsSiTe3.

The uncorrected formation energy comes out at -5.5 kcal/mol of atoms. For the density of states at the Fermi level, the calculation gives 0.7847 states/eV/atom. The final energy is -3.379 eV per atom. Its size of the total moment is 0.00 μB/cell.

The structure belongs to space group R3c (No. 161, hexagonal axes); the cell edges are 9.8421, 9.8421 and 14.9304 Å and the angles 90.00°, 90.00° and 120.00°. The distinct sites, in fractional coordinates, are Cs at (0.0000, 0.0000, 0.0000), Si at (0.0000, 0.0000, 0.2499) and Te at (0.9996, 0.2463, 0.2496).

***

Density functional theory data (PBE) for an optimized crystal structure of PrHo6Tl2.

For the density of states at the Fermi level, the calculation gives 1.2362 states/eV/atom. The calculation puts the energy above the most stable polymorph in this dataset at 0.682 eV/atom. The final energy is -3.566 eV per atom. Its size of the total moment is 0.02 μB/cell.

The structure belongs to space group I-42m (No. 121); the cell edges are 5.6603, 5.6603 and 20.6974 Å and the angles 90.00°, 90.00° and 90.00°. The distinct sites, in fractional coordinates, are Pr at (0.0000, 0.0000, 0.0000), Ho at (0.0000, 0.5000, 0.2500), Ho at (0.1919, 0.1919, 0.5674) and Tl at (0.0000, 0.0000, 0.3071).

***

Density functional theory data (PBE) for an optimized crystal structure of YTlTeCl2.

The uncorrected formation energy comes out at -33.9 kcal/mol of atoms. The final energy is -4.602 eV per atom. Its size of the total moment is 0.00 μB/cell.

The structure belongs to space group P4/mmm (No. 123); the cell edges are 5.2990, 5.2990 and 6.0462 Å and the angles 90.00°, 90.00° and 90.00°. The distinct sites, in fractional coordinates, are Y at (0.0000, 0.0000, 0.0000), Tl at (0.5000, 0.5000, 0.5000), Te at (0.0000, 0.0000, 0.5000) and Cl at (0.0000, 0.5000, 0.0000).

***

Density functional theory data (PBE) for an optimized crystal structure of RbHg2F2.

The uncorrected formation energy comes out at -29.9 kcal/mol of atoms. For the density of states at the Fermi level, the calculation gives 0.2049 states/eV/atom. The final energy is -2.361 eV per atom. Its size of the total moment is 0.00 μB/cell.

The structure belongs to space group P4/mbm (No. 127); the cell edges are 7.9701, 7.9701 and 4.4275 Å and the angles 90.00°, 90.00° and 90.00°. The distinct sites, in fractional coordinates, are Rb at (0.0000, 0.0000, 0.0000), Hg at (0.1233, 0.3767, 0.5000) and F at (0.2302, 0.2698, 0.0000).

***

Density functional theory data (PBE) for an optimized crystal structure of PrScZn2Pt2.

For the density of states at the Fermi level, the calculation gives 0.8334 states/eV/atom. The final energy is -5.158 eV per atom. Its size of the total moment is 0.00 μB/cell.

The structure belongs to space group P-3m1 (No. 164); the cell edges are 4.4623, 4.4623 and 6.8370 Å and the angles 90.00°, 90.00° and 120.00°. The distinct sites, in fractional coordinates, are Pr at (0.0000, 0.0000, 0.0000), Sc at (0.0000, 0.0000, 0.5000), Zn at (0.3333, 0.6667, 0.2954) and Pt at (0.3333, 0.6667, 0.7069).

***

Density functional theory data (PBE) for an optimized crystal structure of Ca2YTlSn.

For the density of states at the Fermi level, the calculation gives 1.0615 states/eV/atom. The final energy is -3.076 eV per atom. Its size of the total moment is 0.00 μB/cell.

The structure belongs to space group P4/mmm (No. 123); the cell edges are 5.7570, 5.7570 and 5.8070 Å and the angles 90.00°, 90.00° and 90.00°. The distinct sites, in fractional coordinates, are Ca at (0.0000, 0.5000, 0.0000), Y at (0.0000, 0.0000, 0.5000), Tl at (0.5000, 0.5000, 0.0000) and Sn at (0.5000, 0.5000, 0.5000).

***

Density functional theory data (PBE) for an optimized crystal structure of Sm2Pu2Bi2C.

For the density of states at the Fermi level, the calculation gives 1.2755 states/eV/atom. The final energy is -8.387 eV per atom. Its size of the total moment is 23.22 μB/cell.

The structure belongs to space group I4/mmm (No. 139); the cell edges are 4.8094, 4.8094 and 16.6843 Å and the angles 90.00°, 90.00° and 90.00°. The distinct sites, in fractional coordinates, are Sm at (0.0000, 0.0000, 0.1571), Pu at (0.0000, 0.5000, 0.0000), Bi at (0.0000, 0.0000, 0.3556) and C at (0.0000, 0.0000, 0.0000).

***

Density functional theory data (PBE) for an optimized crystal structure of NdGaI4.

The uncorrected formation energy comes out at -24.3 kcal/mol of atoms. For the density of states at the Fermi level, the calculation gives 0.0000 states/eV/atom. The calculation puts the energy above the most stable polymorph in this dataset at 0.000 eV/atom. The final energy is -3.385 eV per atom. Its size of the total moment is 0.00 μB/cell.

The structure belongs to space group C2/m (No. 12); the cell edges are 17.1378, 4.6042 and 8.2169 Å and the angles 90.00°, 118.55° and 90.00°. The distinct sites, in fractional coordinates, are Nd at (0.0000, 0.0000, 0.0000), Ga at (0.0000, 0.5000, 0.5000), I at (0.1155, 0.0000, 0.8061) and I at (0.1187, 0.5000, 0.2737).

***

Density functional theory data (PBE) for an optimized crystal structure of ScTl3In.

For the density of states at the Fermi level, the calculation gives 0.9878 states/eV/atom. The calculation puts the energy above the most stable polymorph in this dataset at 0.248 eV/atom. The final energy is -2.642 eV per atom. Its size of the total moment is 0.00 μB/cell.

The structure belongs to space group Pm-3m (No. 221); the cell edges are 5.6281, 5.6281 and 5.6281 Å and the angles 90.00°, 90.00° and 90.00°. The distinct sites, in fractional coordinates, are Sc at (0.0000, 0.0000, 0.0000), Tl at (0.0000, 0.5000, 0.5000) and In at (0.5000, 0.5000, 0.5000).

***

Density functional theory data (PBE) for an optimized crystal structure of LiMg2Ta.

For the density of states at the Fermi level, the calculation gives 0.6115 states/eV/atom. The calculation puts the energy above the most stable polymorph in this dataset at 0.247 eV/atom. The final energy is -3.849 eV per atom. Its size of the total moment is 0.00 μB/cell.

The structure belongs to space group C2/m (No. 12); the cell edges are 10.0372, 2.7256 and 5.7391 Å and the angles 90.00°, 95.80° and 90.00°. The distinct sites, in fractional coordinates, are Li at (0.0000, 0.0000, 0.0000), Mg at (0.2497, 0.0000, 0.7430) and Ta at (0.0000, 0.5000, 0.5000).

***

Density functional theory data (PBE) for an optimized crystal structure of ZnPd3Au6.

For the density of states at the Fermi level, the calculation gives 0.3026 states/eV/atom. The calculation puts the energy above the most stable polymorph in this dataset at 0.083 eV/atom. The final energy is -3.688 eV per atom. Its size of the total moment is 0.00 μB/cell.

The structure belongs to space group P2_1/c (No. 14); the cell edges are 7.0225, 6.7001 and 9.5849 Å and the angles 90.00°, 127.64° and 90.00°. The distinct sites, in fractional coordinates, are Zn at (0.0000, 0.0000, 0.0000), Pd at (0.2387, 0.1756, 0.5500), Pd at (0.5000, 0.0000, 0.0000), Au at (0.0131, 0.1158, 0.7175), Au at (0.2694, 0.7068, 0.1914) and Au at (0.3852, 0.1033, 0.3428).